1.
Below is a geometry-optimized Be3AgGe structure, with properties calculated at the PBE level.

E_tot, eV/atom: -2.80
Formation energy, eV per atom: 0.928
Offset from the most stable computed form, meV/atom: 46

abc: 4.3381 4.3381 4.3381
angles: 90.00 90.00 90.00
With the nearest neighbours (Å) after each atom.
Space group Pm-3m (No. 221)
Asymmetric unit:
Be 0.0000 0.0000 0.5000 x3  2 Ag 2.17
Ag 0.0000 0.0000 0.0000 x1  6 Be 2.17
Ge 0.5000 0.5000 0.5000 x1  12 Be 3.07

---

2.
Below is a geometry-optimized Be2AgGe structure, with properties calculated at the PBE level.

E_tot, eV/atom: -3.28
Formation energy, eV per atom: 0.455
Offset from the most stable computed form, meV/atom: 0

abc: 5.9847 5.9847 5.9847
angles: 90.00 90.00 90.00
With the nearest neighbours (Å) after each atom.
Space group Fm-3m (No. 225)
Asymmetric unit:
Be 0.2500 0.2500 0.2500 x8  4 Ge 2.59, 4 Ag 2.59
Ag 0.0000 0.0000 0.0000 x4  8 Be 2.59
Ge 0.0000 0.0000 0.5000 x4  8 Be 2.59

---

3.
Below is a geometry-optimized Be2AgGe structure, with properties calculated at the PBE level.

E_tot, eV/atom: -3.11
Formation energy, eV per atom: 0.619
Offset from the most stable computed form, meV/atom: 164

abc: 6.5776 6.5776 5.4361
angles: 90.00 90.00 90.00
With the nearest neighbours (Å) after each atom.
Space group I-42d (No. 122)
Asymmetric unit:
Be 0.2331 0.2500 0.1250 x8  2 Ge 2.35, 2 Ag 2.50
Ag 0.0000 0.0000 0.5000 x4  4 Be 2.50, 2 Ge 2.72
Ge 0.0000 0.0000 0.0000 x4  4 Be 2.35

---

4.
Below is a geometry-optimized BeAg2Ge2 structure, with properties calculated at the PBE level.

E_tot, eV/atom: -3.45
Formation energy, eV per atom: 0.284
Offset from the most stable computed form, meV/atom: 0

abc: 6.0283 6.0283 4.7495
angles: 90.00 90.00 90.00
With the nearest neighbours (Å) after each atom.
Space group P4/mbm (No. 127)
Asymmetric unit:
Be 0.0000 0.0000 0.0000 x2  4 Ge 2.30
Ag 0.1767 0.3233 0.5000 x4  6 Ge 2.80-3.09, 1 Ag 3.01
Ge 0.1493 0.6493 0.0000 x4  2 Be 2.30, 1 Ge 2.54

---

5.
Below is a geometry-optimized BeAg2Ge2 structure, with properties calculated at the PBE level.

E_tot, eV/atom: -3.30
Formation energy, eV per atom: 0.436
Offset from the most stable computed form, meV/atom: 152

abc: 6.4521 6.4521 4.3154
angles: 90.00 90.00 90.00
With the nearest neighbours (Å) after each atom.
Space group P4/mbm (No. 127)
Asymmetric unit:
Be 0.0000 0.0000 0.0000 x2  4 Ag 2.42
Ag 0.1627 0.3373 0.0000 x4  2 Be 2.42
Ge 0.1545 0.6545 0.5000 x4  6 Ag 2.73-2.97, 1 Ge 2.82

---

6.
Below is a geometry-optimized Be2AgHgGe structure, with properties calculated at the PBE level.

E_tot, eV/atom: -2.10
Formation energy, eV per atom: 0.944

abc: 4.4461 4.4461 5.2532
angles: 90.00 90.00 90.00
With the nearest neighbours (Å) after each atom.
Space group P4/mmm (No. 123)
Asymmetric unit:
Be 0.0000 0.5000 0.0000 x2  2 Hg 2.22
Ag 0.0000 0.0000 0.5000 x1  2 Hg 2.63
Hg 0.0000 0.0000 0.0000 x1  4 Be 2.22
Ge 0.5000 0.5000 0.5000 x1  4 Ag 3.14, 8 Be 3.44

---

7.
Below is a geometry-optimized BeAgGeI2 structure, with properties calculated at the PBE level.

ΔE_f (raw), eV per atom: 0.74
E_tot, eV/atom: -2.12

abc: 5.8639 5.8639 4.9527
angles: 90.00 90.00 90.00
With the nearest neighbours (Å) after each atom.
Space group P4/mmm (No. 123)
Asymmetric unit:
Be 0.0000 0.0000 0.0000 x1  8 I 3.84, 4 Ag 4.15
Ag 0.5000 0.5000 0.0000 x1  2 Ge 2.48
Ge 0.5000 0.5000 0.5000 x1  2 Ag 2.48
I 0.0000 0.5000 0.5000 x2  2 Ge 2.93

---

8.
Below is a geometry-optimized La2Be3AgGe4 structure, with properties calculated at the PBE level.

E_tot, eV/atom: -4.64
Formation energy, eV per atom: -0.400

abc: 4.2610 4.2610 9.9828
angles: 90.00 90.00 90.00
With the nearest neighbours (Å) after each atom.
Space group P-4m2 (No. 115)
Asymmetric unit:
La 0.0000 0.5000 0.2420 x2  8 Ge 3.21-3.22, 6 Be 3.25-3.34, 2 Ag 3.34
Be 0.0000 0.5000 0.8798 x2  5 Ge 2.32-2.44
Be 0.5000 0.5000 0.5000 x1  4 Ge 2.59
Ag 0.0000 0.0000 0.5000 x1  4 Ge 2.59
Ge 0.0000 0.0000 0.0000 x1  4 Be 2.44
Ge 0.0000 0.5000 0.6475 x2  3 Be 2.32-2.59, 2 Ag 2.59
Ge 0.5000 0.5000 0.0000 x1  4 Be 2.44

---

E_tot of number 4 (BeAg2Ge2)?
-3.45 eV/atom